1.
A plane-wave DFT calculation with PBE was carried out for an optimized crystal structure of Li3IrO4.

The structure in extended XYZ format:
```
16
Lattice="5.076 0.000 0.000 0.000 5.907 0.000 -1.766 0.000 4.826" Properties=species:S:1:pos:R:3 pbc="T T T"
Li -0.442 0.577 1.206
Li -1.325 2.130 3.619
Li -0.442 3.777 1.206
Li -1.325 5.330 3.619
Li 1.213 0.685 3.619
Li 2.096 5.222 1.206
Ir 2.096 2.133 1.206
Ir 1.213 3.774 3.619
O 1.273 0.799 0.069
O 0.389 5.108 2.482
O 0.496 2.293 2.406
O -0.387 3.614 4.819
O 3.697 2.293 0.007
O 2.813 3.614 2.420
O 2.920 0.799 2.344
O 2.037 5.108 4.757
```

Results
E_tot in eV per atom: -5.768
Crystal system: monoclinic
Distance to the lowest polymorph of the same formula in meV per atom: 15
Mass density in g/cm³: 6.36
Total magnetic moment in Bohr magnetons per cell: 3.9

***

2.
A plane-wave DFT calculation with PBE was carried out for an optimized crystal structure of TmScB4.

The structure in extended XYZ format:
```
6
Lattice="3.198 0.000 0.000 -1.599 2.770 0.000 0.000 0.000 7.285" Properties=species:S:1:pos:R:3 pbc="T T T"
Tm 0.000 0.000 0.000
Sc 0.000 0.000 3.642
B 0.000 1.847 1.900
B 0.000 1.847 5.385
B 1.599 0.923 1.900
B 1.599 0.923 5.385
```

Results
E_tot in eV per atom: -6.990
Crystal system: hexagonal
Mass density in g/cm³: 6.62
Total magnetic moment in Bohr magnetons per cell: 0.0

***

3.
A plane-wave DFT calculation with PBE was carried out for an optimized crystal structure of TbPuCl6.

The structure in extended XYZ format:
```
8
Lattice="3.523 -6.086 0.000 3.523 6.086 0.000 -2.362 0.000 6.020" Properties=species:S:1:pos:R:3 pbc="T T T"
Tb 0.000 0.000 0.000
Pu 3.523 2.043 0.000
Cl 1.215 1.876 1.454
Cl -0.122 0.123 4.573
Cl 0.985 -1.980 1.478
Cl 3.469 1.876 4.566
Cl 4.806 0.123 1.447
Cl 3.699 -1.980 4.542
```

Results
E_tot in eV per atom: -5.834
Crystal system: monoclinic
Mass density in g/cm³: 3.96
Total magnetic moment in Bohr magnetons per cell: 5.0

***

4.
A plane-wave DFT calculation with PBE was carried out for an optimized crystal structure of InPdAuSeS2.

The structure in extended XYZ format:
```
12
Lattice="1.886 -6.668 0.000 1.886 6.668 0.000 0.000 0.000 10.310" Properties=species:S:1:pos:R:3 pbc="T T T"
In 1.886 4.107 7.732
In 1.886 -4.107 2.577
Pd 1.886 0.000 0.000
Pd 1.886 0.000 5.155
Au 1.886 4.666 2.577
Au 1.886 -4.666 7.732
Se 1.886 0.608 2.577
Se 1.886 -0.608 7.732
S 1.886 5.109 0.241
S 1.886 5.109 4.914
S 1.886 -5.109 5.396
S 1.886 -5.109 10.069
```

Results
E_tot in eV per atom: -4.046
Crystal system: orthorhombic
Mass density in g/cm³: 7.19